[1]
A relaxed structure of Fe2AgC, computed with PBE.

a b c (Å): 6.042 6.042 5.042
angles (deg): 53.19 53.19 90.00
Last column: magnetic moment on the atom in μB.
Atoms (fractional coordinates):
C (0.500, 0.500, 0.000)  -0.14
C (0.250, 0.750, 0.500)  -0.14
Fe (0.518, 0.125, 0.250)  1.69
Fe (0.232, 0.625, 0.250)  1.69
Fe (0.375, 0.482, 0.750)  1.68
Fe (0.875, 0.768, 0.750)  1.67
Ag (0.000, 0.000, 0.000)  0.04
Ag (0.750, 0.250, 0.500)  0.04

Calculated values
For the formation energy, the calculation gives 0.5781 eV per atom. As for the space group: I-42d. As for the crystal system: tetragonal.

***

[2]
A relaxed structure of Ga2FeAgC, computed with PBE.

a b c (Å): 4.414 4.747 4.414
angles (deg): 90.00 90.00 90.00
Last column: magnetic moment on the atom in μB.
Atoms (fractional coordinates):
C (0.500, 0.500, 0.500)  0.57
Ga (0.000, 0.000, 0.500)  -0.05
Ga (0.500, 0.000, 0.000)  -0.07
Ag (0.000, 0.500, 0.000)  0.05
Fe (0.000, 0.000, 0.000)  1.59

Calculated values
For the formation energy, the calculation gives 1.6842 eV per atom. As for the space group: P4/mmm. As for the crystal system: tetragonal.

***

[3]
A relaxed structure of Fe2AgHgC, computed with PBE.

a b c (Å): 4.935 5.184 4.935
angles (deg): 90.00 90.00 90.00
Last column: magnetic moment on the atom in μB.
Atoms (fractional coordinates):
C (0.500, 0.500, 0.500)  -0.82
Hg (0.000, 0.000, 0.000)  -0.03
Ag (0.000, 0.500, 0.000)  -0.01
Fe (0.000, 0.000, 0.500)  3.68
Fe (0.500, 0.000, 0.000)  2.81

Calculated values
For the formation energy, the calculation gives 2.5747 eV per atom. As for the space group: P4/mmm. As for the crystal system: tetragonal.

***

[4]
A relaxed structure of La2FeAgC, computed with PBE.

a b c (Å): 5.367 5.367 3.710
angles (deg): 90.00 90.00 90.00
Last column: magnetic moment on the atom in μB.
Atoms (fractional coordinates):
C (0.000, 0.000, 0.000)  -0.01
Fe (0.000, 0.000, 0.500)  0.22
Ag (0.500, 0.500, 0.500)  0.00
La (0.000, 0.500, 0.000)  -0.02
La (0.500, 0.000, 0.000)  -0.02

Calculated values
For the formation energy, the calculation gives -0.1792 eV per atom. As for the space group: P4/mmm. As for the crystal system: tetragonal.

***

[5]
A relaxed structure of MnFe2AgC, computed with PBE.

a b c (Å): 3.848 3.848 3.989
angles (deg): 90.00 90.00 90.00
Last column: magnetic moment on the atom in μB.
Atoms (fractional coordinates):
C (0.000, 0.000, 0.000)  -0.15
Mn (0.000, 0.000, 0.500)  2.83
Fe (0.000, 0.500, 0.000)  1.86
Fe (0.500, 0.000, 0.000)  1.86
Ag (0.500, 0.500, 0.500)  0.07

Calculated values
For the formation energy, the calculation gives 0.1925 eV per atom. As for the space group: P4/mmm. As for the crystal system: tetragonal.

***

[6]
A relaxed structure of FeAg3C6N6, computed with PBE.

a b c (Å): 7.522 7.522 6.841
angles (deg): 90.00 90.00 120.00
Last column: magnetic moment on the atom in μB.
Atoms (fractional coordinates):
Fe (0.000, 0.000, 0.000)  0.83
Ag (0.000, 0.500, 0.500)  0.03
Ag (0.500, 0.000, 0.500)  0.03
Ag (0.500, 0.500, 0.500)  0.03
C (0.797, 0.797, 0.165)  -0.02
C (0.000, 0.797, 0.835)  -0.02
C (0.203, 0.203, 0.835)  -0.02
C (0.000, 0.203, 0.165)  -0.02
C (0.797, 0.000, 0.835)  -0.02
C (0.203, 0.000, 0.165)  -0.02
N (0.000, 0.322, 0.275)  0.03
N (0.678, 0.000, 0.725)  0.03
N (0.322, 0.322, 0.725)  0.03
N (0.678, 0.678, 0.275)  0.03
N (0.000, 0.678, 0.725)  0.03
N (0.322, 0.000, 0.275)  0.03

Calculated values
The calculation puts the formation energy (no corrections) at 6.569 eV/f.u. As for the space group: P-31m. As for the crystal system: trigonal.

***

[7]
A relaxed structure of NbFe2AgC, computed with PBE.

a b c (Å): 4.728 3.806 4.728
angles (deg): 90.00 90.00 90.00
Last column: magnetic moment on the atom in μB.
Atoms (fractional coordinates):
C (0.000, 0.500, 0.000)  0.07
Nb (0.500, 0.500, 0.500)  -1.29
Fe (0.000, 0.000, 0.500)  2.91
Fe (0.500, 0.000, 0.000)  2.79
Ag (0.000, 0.000, 0.000)  0.02

Calculated values
For the formation energy, the calculation gives 1.9617 eV per atom. As for the space group: P4/mmm. As for the crystal system: tetragonal.

***

Number 1: N(E_F) 5.61 states/eV per cell. Number 2: N(E_F) 4.83 states/eV per cell. Number 3: N(E_F) 7.94 states/eV per cell. Number 4: N(E_F) 3.56 states/eV per cell. Number 5: N(E_F) 4.20 states/eV per cell. Number 6: N(E_F) 9.43 states/eV per cell. Number 7: N(E_F) 4.07 states/eV per cell.